Entry 1:
Density functional theory data (PBE) for a relaxed structure of LaAsSe2.

The structure in POSCAR format:
```
LaAsSe2
1.0
2.229 1.287 6.552
-2.229 1.287 6.552
0.000 -2.573 6.552
La As Se
1 1 2
Cartesian
0.000 0.000 0.000
0.000 0.000 3.864
0.000 0.000 10.952
0.000 0.000 14.532
```

## Properties
Crystal system ... trigonal
Calculated volume ... 28.18 Å³ per atom
ΔE_f (raw) ... -333 kJ/mol of formula units

=====

Entry 2:
Density functional theory data (PBE) for a relaxed structure of GePtO4.

The structure in POSCAR format:
```
GePtO4
1.0
5.589 -1.515 0.000
5.589 1.515 0.000
-2.037 0.000 4.850
Ge Pt O
1 1 4
Cartesian
0.000 0.000 0.000
4.570 0.000 2.425
0.248 0.000 1.930
4.369 0.000 0.392
4.771 0.000 4.458
8.891 0.000 2.920
```

## Properties
Crystal system ... monoclinic
Calculated volume ... 13.68 Å³ per atom
ΔE_f (raw) ... -580 kJ/mol of formula units

=====

Entry 3:
Density functional theory data (PBE) for a relaxed structure of Cs4BaU3S12.

The structure in POSCAR format:
```
Cs4BaU3S12
1.0
-5.390 5.390 5.390
5.390 -5.390 5.390
5.390 5.390 -5.390
Cs Ba U S
4 1 3 12
Cartesian
2.695 2.695 -2.695
2.695 -2.695 2.695
-2.695 2.695 2.695
2.695 2.695 2.695
0.000 0.000 0.000
5.390 0.000 0.000
0.000 5.390 0.000
0.000 0.000 5.390
2.976 0.000 0.000
7.805 0.000 0.000
5.390 2.695 0.000
5.390 0.000 2.695
0.000 2.976 0.000
0.000 0.000 2.976
2.695 5.390 0.000
2.695 0.000 5.390
0.000 7.805 0.000
0.000 0.000 7.805
0.000 5.390 2.695
0.000 2.695 5.390
```

## Properties
Crystal system ... cubic
Calculated volume ... 31.33 Å³ per atom
ΔE_f (raw) ... -2556 kJ/mol of formula units

=====

Entry 4:
Density functional theory data (PBE) for a relaxed structure of RbTlI4.

The structure in POSCAR format:
```
RbTlI4
1.0
10.092 0.000 0.000
0.000 11.540 0.000
-7.433 0.000 11.168
Rb Tl I
4 4 16
Cartesian
-0.196 1.892 3.195
-3.913 3.878 8.780
6.572 7.662 2.389
2.856 9.649 7.973
1.616 7.721 2.252
-2.101 9.590 7.837
4.760 1.951 3.332
1.043 3.819 8.916
-3.651 7.420 6.810
0.065 9.890 1.226
-0.287 5.819 3.140
-4.003 11.491 8.724
3.426 6.956 0.191
-0.291 10.354 5.775
2.942 2.631 1.253
-0.775 3.139 6.837
3.434 8.401 4.331
-0.283 8.909 9.916
2.950 1.186 5.393
-0.766 4.584 10.978
6.662 0.049 2.444
2.946 5.721 8.028
2.594 1.650 9.943
6.311 4.120 4.359
```

## Properties
Crystal system ... monoclinic
Calculated volume ... 54.20 Å³ per atom
ΔE_f (raw) ... -402 kJ/mol of formula units